A relaxed structure of Ta3TeRu, computed with PBE.

As for the raw formation energy: 0.9854 eV per atom.

Cell lengths 4.847, 4.847, 4.847 Å; angles 90.00, 90.00, 90.00 degrees
Sites, in units of the cell vectors:
1 Ta 0.000 0.500 0.000
2 Ta 0.500 0.000 0.000
3 Ru 0.000 0.000 0.000
4 Te 0.500 0.500 0.500
5 Ta 0.000 0.000 0.500